[1]
{"formula": "Tm5PaCo6", "functional": "GGA-PBE", "state": "optimized geometry", "lattice_angstrom": [[-2.3576, 3.3021, 6.8925], [2.3576, -3.3021, 6.8925], [2.3576, 3.3021, -6.8925]], "species": ["Tm", "Tm", "Tm", "Tm", "Tm", "Pa", "Co", "Co", "Co", "Co", "Co", "Co"], "frac_coords": [[0.0000, 0.0000, 0.0000], [0.1636, 0.6636, 0.5000], [0.3229, 0.3229, 0.0000], [0.6772, 0.6772, 0.0000], [0.8364, 0.3364, 0.5000], [0.5000, 0.0000, 0.5000], [0.1233, 0.8486, 0.2747], [0.2707, 0.5000, 0.7707], [0.4261, 0.1514, 0.2747], [0.5739, 0.8486, 0.7253], [0.7293, 0.5000, 0.2293], [0.8767, 0.1514, 0.7253]], "energy_ev_per_cell": -77.8, "space_group": "Immm, No. 71"}

[2]
{"formula": "KNbPb3", "functional": "GGA-PBE", "state": "optimized geometry", "lattice_angstrom": [[5.6768, 0.0000, 0.0000], [0.0000, 5.6768, 0.0000], [0.0000, 0.0000, 5.6768]], "species": ["K", "Nb", "Pb", "Pb", "Pb"], "frac_coords": [[0.0000, 0.0000, 0.0000], [0.5000, 0.5000, 0.5000], [0.0000, 0.0000, 0.5000], [0.0000, 0.5000, 0.0000], [0.5000, 0.0000, 0.0000]], "polymorph_energy_mev_per_atom": 1658.3, "space_group": "Pm-3m, No. 221"}

[3]
{"formula": "Nd2TmIr", "functional": "GGA-PBE", "state": "optimized geometry", "lattice_angstrom": [[6.8398, 0.0000, 0.0000], [0.0000, 6.4073, 0.0000], [0.0000, 0.0000, 11.6249]], "species": ["Nd", "Nd", "Nd", "Nd", "Nd", "Nd", "Nd", "Nd", "Tm", "Tm", "Tm", "Tm", "Ir", "Ir", "Ir", "Ir"], "frac_coords": [[0.0890, 0.2486, 0.0872], [0.0890, 0.2514, 0.4128], [0.4110, 0.7486, 0.4128], [0.4110, 0.7514, 0.0872], [0.5890, 0.2486, 0.9128], [0.5890, 0.2514, 0.5872], [0.9110, 0.7486, 0.5872], [0.9110, 0.7514, 0.9128], [0.0730, 0.2500, 0.7500], [0.4270, 0.7500, 0.7500], [0.5730, 0.2500, 0.2500], [0.9270, 0.7500, 0.2500], [0.2500, 0.0000, 0.9069], [0.2500, 0.5000, 0.5931], [0.7500, 0.0000, 0.0931], [0.7500, 0.5000, 0.4069]], "polymorph_energy_mev_per_atom": 86.1, "space_group": "Pnna, No. 52"}

[4]
{"formula": "Rb2RuI", "functional": "GGA-PBE", "state": "optimized geometry", "lattice_angstrom": [[8.8393, 0.0000, 0.0000], [0.0000, 8.8393, 0.0000], [0.0000, 0.0000, 8.8393]], "species": ["Rb", "Rb", "Rb", "Rb", "Rb", "Rb", "Rb", "Rb", "Ru", "Ru", "Ru", "Ru", "I", "I", "I", "I"], "frac_coords": [[0.2500, 0.2500, 0.2500], [0.2500, 0.2500, 0.7500], [0.2500, 0.7500, 0.2500], [0.2500, 0.7500, 0.7500], [0.7500, 0.2500, 0.2500], [0.7500, 0.2500, 0.7500], [0.7500, 0.7500, 0.2500], [0.7500, 0.7500, 0.7500], [0.0000, 0.0000, 0.0000], [0.0000, 0.5000, 0.5000], [0.5000, 0.0000, 0.5000], [0.5000, 0.5000, 0.0000], [0.0000, 0.0000, 0.5000], [0.0000, 0.5000, 0.0000], [0.5000, 0.0000, 0.0000], [0.5000, 0.5000, 0.5000]], "formation_energy_uncorrected_ev_per_atom": 0.534, "space_group": "Fm-3m, No. 225"}